(1)
# Li2CdRh2 GGA-PBE relaxed
data_Li2CdRh2
_chemical_formula_sum 'Li4 Cd2 Rh4'
_cell_length_a 7.171
_cell_length_b 7.171
_cell_length_c 2.896
_cell_angle_alpha 90.00
_cell_angle_beta 90.00
_cell_angle_gamma 90.00
_space_group_name_H-M_alt 'P 1'
_space_group_IT_number 1
loop_
_space_group_symop_operation_xyz
'x,y,z'
loop_
_atom_site_label
_atom_site_type_symbol
_atom_site_fract_x
_atom_site_fract_y
_atom_site_fract_z
Li1 Li 0.169 0.331 0.000
Li2 Li 0.331 0.831 0.000
Li3 Li 0.669 0.169 0.000
Li4 Li 0.831 0.669 0.000
Cd1 Cd 0.000 0.000 0.500
Cd2 Cd 0.500 0.500 0.500
Rh1 Rh 0.126 0.626 0.500
Rh2 Rh 0.374 0.126 0.500
Rh3 Rh 0.626 0.874 0.500
Rh4 Rh 0.874 0.374 0.500
# Space group   No. 127
# Formation enthalpy at 0 K   -23.5 meV per atom
# Calculated density   7.41 g cm⁻³
# Size of the total moment   0.0 Bohr magnetons per cell
# Calculated volume   14.89 A^3/atom
# Energy relative to the lowest polymorph listed for this composition   11 meV per atom

(2)
# Pm2Si3Pd2 GGA-PBE relaxed
data_Pm2Si3Pd2
_chemical_formula_sum 'Pm4 Si6 Pd4'
_cell_length_a 9.268
_cell_length_b 9.268
_cell_length_c 6.970
_cell_angle_alpha 90.00
_cell_angle_beta 90.00
_cell_angle_gamma 153.45
_space_group_name_H-M_alt 'P 1'
_space_group_IT_number 1
loop_
_space_group_symop_operation_xyz
'x,y,z'
loop_
_atom_site_label
_atom_site_type_symbol
_atom_site_fract_x
_atom_site_fract_y
_atom_site_fract_z
Pm1 Pm 0.055 0.945 0.750
Pm2 Pm 0.155 0.845 0.250
Pm3 Pm 0.845 0.155 0.750
Pm4 Pm 0.945 0.055 0.250
Si1 Si 0.224 0.776 0.750
Si2 Si 0.441 0.559 0.573
Si3 Si 0.441 0.559 0.927
Si4 Si 0.559 0.441 0.073
Si5 Si 0.559 0.441 0.427
Si6 Si 0.776 0.224 0.250
Pd1 Pd 0.307 0.693 0.049
Pd2 Pd 0.307 0.693 0.451
Pd3 Pd 0.693 0.307 0.549
Pd4 Pd 0.693 0.307 0.951
# Space group   No. 63
# Calculated density   7.29 g cm⁻³
# Size of the total moment   0.0 Bohr magnetons per cell
# Calculated volume   19.11 A^3/atom
# Energy relative to the lowest polymorph listed for this composition   0 meV per atom

(3)
# TbMg2Ga4 GGA-PBE relaxed
data_TbMg2Ga4
_chemical_formula_sum 'Tb2 Mg4 Ga8'
_cell_length_a 8.753
_cell_length_b 8.753
_cell_length_c 5.897
_cell_angle_alpha 97.13
_cell_angle_beta 97.13
_cell_angle_gamma 39.19
_space_group_name_H-M_alt 'P 1'
_space_group_IT_number 1
loop_
_space_group_symop_operation_xyz
'x,y,z'
loop_
_atom_site_label
_atom_site_type_symbol
_atom_site_fract_x
_atom_site_fract_y
_atom_site_fract_z
Tb1 Tb 0.230 0.770 0.750
Tb2 Tb 0.770 0.230 0.250
Mg1 Mg 0.233 0.379 0.848
Mg2 Mg 0.379 0.233 0.348
Mg3 Mg 0.621 0.767 0.652
Mg4 Mg 0.767 0.621 0.152
Ga1 Ga 0.114 0.206 0.528
Ga2 Ga 0.201 0.647 0.210
Ga3 Ga 0.206 0.114 0.028
Ga4 Ga 0.353 0.799 0.290
Ga5 Ga 0.647 0.201 0.710
Ga6 Ga 0.794 0.886 0.972
Ga7 Ga 0.799 0.353 0.790
Ga8 Ga 0.886 0.794 0.472
# Space group   No. 15
# Formation enthalpy at 0 K   -341.9 meV per atom
# Calculated density   5.71 g cm⁻³
# Size of the total moment   0.0 Bohr magnetons per cell
# Calculated volume   20.21 A^3/atom

(4)
# CuCl2 GGA-PBE relaxed
data_CuCl2
_chemical_formula_sum 'Cu2 Cl4'
_cell_length_a 10.962
_cell_length_b 10.962
_cell_length_c 3.652
_cell_angle_alpha 90.00
_cell_angle_beta 90.00
_cell_angle_gamma 162.03
_space_group_name_H-M_alt 'P 1'
_space_group_IT_number 1
loop_
_space_group_symop_operation_xyz
'x,y,z'
loop_
_atom_site_label
_atom_site_type_symbol
_atom_site_fract_x
_atom_site_fract_y
_atom_site_fract_z
Cu1 Cu 0.085 0.915 0.750
Cu2 Cu 0.915 0.085 0.250
Cl1 Cl 0.250 0.750 0.250
Cl2 Cl 0.418 0.582 0.750
Cl3 Cl 0.582 0.418 0.250
Cl4 Cl 0.750 0.250 0.750
# Space group   No. 63
# Total DFT energy (no corrections)   -2.56 eV per atom
# Calculated density   3.30 g cm⁻³
# Size of the total moment   0.0 Bohr magnetons per cell
# Calculated volume   22.57 A^3/atom

(5)
# BaInB2H GGA-PBE relaxed
data_BaInB2H
_chemical_formula_sum 'Ba1 In1 B2 H1'
_cell_length_a 5.331
_cell_length_b 5.331
_cell_length_c 4.372
_cell_angle_alpha 90.00
_cell_angle_beta 90.00
_cell_angle_gamma 90.00
_space_group_name_H-M_alt 'P 1'
_space_group_IT_number 1
loop_
_space_group_symop_operation_xyz
'x,y,z'
loop_
_atom_site_label
_atom_site_type_symbol
_atom_site_fract_x
_atom_site_fract_y
_atom_site_fract_z
Ba1 Ba 0.000 0.000 0.000
In1 In 0.500 0.500 0.500
B1 B 0.000 0.500 0.000
B2 B 0.500 0.000 0.000
H1 H 0.000 0.000 0.500
# Space group   No. 123
# Total DFT energy (no corrections)   -2.42 eV per atom
# Calculated density   3.67 g cm⁻³
# Size of the total moment   0.0 Bohr magnetons per cell
# Calculated volume   24.85 A^3/atom

(6)
# Sm2HoTm GGA-PBE relaxed
data_Sm2HoTm
_chemical_formula_sum 'Sm2 Ho1 Tm1'
_cell_length_a 5.061
_cell_length_b 5.061
_cell_length_c 5.008
_cell_angle_alpha 90.00
_cell_angle_beta 90.00
_cell_angle_gamma 90.00
_space_group_name_H-M_alt 'P 1'
_space_group_IT_number 1
loop_
_space_group_symop_operation_xyz
'x,y,z'
loop_
_atom_site_label
_atom_site_type_symbol
_atom_site_fract_x
_atom_site_fract_y
_atom_site_fract_z
Sm1 Sm 0.000 0.500 0.000
Sm2 Sm 0.500 0.000 0.000
Ho1 Ho 0.000 0.000 0.500
Tm1 Tm 0.500 0.500 0.500
# Space group   No. 123
# Formation enthalpy at 0 K   22.3 meV per atom
# Calculated density   8.22 g cm⁻³
# Size of the total moment   0.0 Bohr magnetons per cell
# Calculated volume   32.06 A^3/atom
# Energy relative to the lowest polymorph listed for this composition   6 meV per atom